<P>
This record from Alexandria via LeMat-Bulk describes crystalline Rb2In2P at its relaxed geometry. The functional is PBE-GGA.

a b c (Å): 13.064 7.759 7.587
angles (deg): 90.00 109.44 90.00
Space group C2/c (No. 15)
Unique sites:
Rb  0.164  0.080  0.115
In  0.086  0.371  0.450
P  0.000  0.330  0.750

Properties
* spin magnetization: 0.0 Bohr magnetons per cell
* D(E_F): 16.40 states/eV per cell
* crystal system: monoclinic

<Q>
This record from Alexandria via LeMat-Bulk describes crystalline Rb2In2P at its relaxed geometry. The functional is PBE-GGA.

a b c (Å): 7.475 7.475 6.146
angles (deg): 90.00 90.00 90.00
Space group P4/mbm (No. 127)
Unique sites:
Rb  0.188  0.312  0.000
In  0.138  0.638  0.500
P  0.000  0.000  0.500

Properties
* spin magnetization: 0.0 Bohr magnetons per cell
* D(E_F): 6.88 states/eV per cell
* crystal system: tetragonal

The least stable of them is <Q>.

<P>
This record from Alexandria via LeMat-Bulk describes crystalline RbIn3P at its relaxed geometry. The functional is PBE-GGA.

a b c (Å): 6.227 6.227 6.227
angles (deg): 90.00 90.00 90.00
Space group Pm-3m (No. 221)
Unique sites:
Rb  0.000  0.000  0.000
In  0.000  0.000  0.500
P  0.500  0.500  0.500

Properties
* spin magnetization: 0.2 Bohr magnetons per cell
* D(E_F): 3.17 states/eV per cell
* crystal system: cubic

<Q>
This record from Alexandria via LeMat-Bulk describes crystalline RbIn3P at its relaxed geometry. The functional is PBE-GGA.

a b c (Å): 5.473 5.473 5.473
angles (deg): 90.00 90.00 90.00
Space group Pm-3m (No. 221)
Unique sites:
Rb  0.000  0.000  0.000
In  0.000  0.500  0.500
P  0.500  0.500  0.500

Properties
* spin magnetization: 0.0 Bohr magnetons per cell
* D(E_F): 3.75 states/eV per cell
* crystal system: cubic

The least stable of them is <P>.

<P>
This record from Alexandria via LeMat-Bulk describes crystalline InRe3P at its relaxed geometry. The functional is PBE-GGA.

a b c (Å): 4.426 4.426 4.426
angles (deg): 90.00 90.00 90.00
Space group Pm-3m (No. 221)
Unique sites:
In  0.000  0.000  0.000
Re  0.000  0.500  0.500
P  0.500  0.500  0.500

Properties
* spin magnetization: 0.0 Bohr magnetons per cell
* D(E_F): 4.46 states/eV per cell
* crystal system: cubic

<Q>
This record from Alexandria via LeMat-Bulk describes crystalline InRe3P at its relaxed geometry. The functional is PBE-GGA.

a b c (Å): 4.853 4.853 4.853
angles (deg): 90.00 90.00 90.00
Space group Pm-3m (No. 221)
Unique sites:
In  0.000  0.000  0.000
Re  0.000  0.000  0.500
P  0.500  0.500  0.500

Properties
* spin magnetization: 3.2 Bohr magnetons per cell
* D(E_F): 7.43 states/eV per cell
* crystal system: cubic

The least stable of them is <Q>.

<P>
This record from Alexandria via LeMat-Bulk describes crystalline InPRhS2 at its relaxed geometry. The functional is PBE-GGA.

a b c (Å): 4.932 4.932 4.344
angles (deg): 90.00 90.00 90.00
Space group P4/mmm (No. 123)
Unique sites:
In  0.000  0.000  0.000
P  0.500  0.500  0.000
Rh  0.500  0.500  0.500
S  0.000  0.500  0.500

Properties
* spin magnetization: 0.0 Bohr magnetons per cell
* D(E_F): 3.68 states/eV per cell
* crystal system: tetragonal

<Q>
This record from Alexandria via LeMat-Bulk describes crystalline InPRhS2 at its relaxed geometry. The functional is PBE-GGA.

a b c (Å): 4.946 4.946 4.977
angles (deg): 90.00 90.00 90.00
Space group P4/mmm (No. 123)
Unique sites:
In  0.000  0.000  0.000
P  0.000  0.000  0.500
Rh  0.500  0.500  0.500
S  0.000  0.500  0.000

Properties
* spin magnetization: 1.3 Bohr magnetons per cell
* D(E_F): 6.65 states/eV per cell
* crystal system: tetragonal

The least stable of them is <Q>.